Entry 1:
! PRh PBE-GGA optimized geometry; values from VASP
&SYSTEM
  ibrav = 0, nat = 4, ntyp = 2
/
ATOMIC_SPECIES
P 30.97 P.upf
Rh 102.91 Rh.upf
ATOMIC_POSITIONS crystal
P 0.1638 0.8362 0.7500
P 0.8362 0.1638 0.2500
Rh 0.3942 0.6058 0.7500
Rh 0.6058 0.3942 0.2500
CELL_PARAMETERS angstrom
1.5249 -5.1994 0.0000
1.5249 5.1994 0.0000
0.0000 0.0000 3.5765
! calculated formation energy: -0.36 eV/atom
! space-group type: Cmcm, No. 63
! calculated density: 7.84 Mg/m³

Entry 2:
! PmFeSi PBE-GGA optimized geometry; values from VASP
&SYSTEM
  ibrav = 0, nat = 3, ntyp = 3
/
ATOMIC_SPECIES
Pm 145.00 Pm.upf
Fe 55.84 Fe.upf
Si 28.09 Si.upf
ATOMIC_POSITIONS crystal
Pm 0.0000 0.0000 0.0000
Fe 0.3333 0.6667 0.5000
Si 0.6667 0.3333 0.5000
CELL_PARAMETERS angstrom
4.0801 0.0000 0.0000
-2.0401 3.5335 0.0000
0.0000 0.0000 4.0624
! energy relative to the elements, uncorrected: -0.395 eV/atom
! space-group type: P-6m2, No. 187
! calculated density: 6.49 Mg/m³
! energy relative to the lowest polymorph listed for this composition: 193.3 meV/atom